Entry from Alexandria: an optimized crystal structure of PaVSb2N (GGA-PBE).

Values from the calculation:
Formation energy without anion corrections = -16.039 kcal/mol of atoms
Total magnetic moment = 0.00 μB per formula unit

```
PaVSb2N
1.0
3.839 0.000 0.000
0.000 3.839 0.000
0.000 0.000 13.492
Pa V Sb N
2 2 4 2
Direct
0.250 0.250 0.090
0.750 0.750 0.910
0.250 0.250 0.569
0.750 0.750 0.431
0.250 0.250 0.369
0.250 0.250 0.775
0.750 0.750 0.225
0.750 0.750 0.631
0.250 0.750 0.000
0.750 0.250 0.000
```